# 1
## Mn2PBr (meta-GGA SCAN)

Data for a PBEsol-optimized structure of Mn2PBr.

## Properties
As for the energy relative to the elements, uncorrected: -1.54 eV per formula unit. For the offset from the most stable computed form, the calculation gives 0 meV per atom. The calculation puts the total magnetic moment at 6.31 Bohr magnetons per cell.

abc: 3.6101 3.6101 6.1311
angles: 72.73 72.73 59.92
Element x y z (fractional)
Br 0.0000 0.0000 0.5000
P 0.5000 0.5000 0.0000
Mn 0.2175 0.2175 0.8492
Mn 0.7825 0.7825 0.1508

***

# 2
## ScGe3Mo (meta-GGA SCAN)

Data for a PBEsol-optimized structure of ScGe3Mo.

## Properties
As for the formation energy: 1.13 eV per atom. The calculation puts the total magnetic moment at 3.61 Bohr magnetons per cell.

abc: 4.8961 4.8961 4.8961
angles: 90.00 90.00 90.00
Element x y z (fractional)
Ge 0.5000 0.0000 0.0000
Ge 0.0000 0.5000 0.0000
Ge 0.0000 0.0000 0.5000
Sc 0.0000 0.0000 0.0000
Mo 0.5000 0.5000 0.5000

***

# 3
## KWN3 (meta-GGA SCAN)

Data for a PBEsol-optimized structure of KWN3.

## Properties
As for the energy relative to the elements, uncorrected: 0.41 eV per formula unit. The calculation puts the total magnetic moment at 0.00 Bohr magnetons per cell.

abc: 4.0034 4.0034 4.0034
angles: 90.00 90.00 90.00
Element x y z (fractional)
W 0.0000 0.0000 0.0000
N 0.0000 0.5000 0.0000
N 0.5000 0.0000 0.0000
N 0.0000 0.0000 0.5000
K 0.5000 0.5000 0.5000

***

# 4
## TlReBr (meta-GGA SCAN)

Data for a PBEsol-optimized structure of TlReBr.

## Properties
As for the energy relative to the elements, uncorrected: 2.69 eV per formula unit. For the offset from the most stable computed form, the calculation gives 0 meV per atom. The calculation puts the total magnetic moment at 0.00 Bohr magnetons per cell.

abc: 3.0644 3.0644 7.7114
angles: 90.00 90.00 120.00
Element x y z (fractional)
Br 0.0000 0.0000 0.9342
Tl 0.3333 0.6667 0.3686
Re 0.6667 0.3333 0.6972